Computed, not measured: an optimized crystal structure of Cd2Co2O5 at the PBE with a Hubbard U level of DFT.

Unit cell a=3.7242 b=3.7242 c=7.4810 alpha=90.00 beta=90.00 gamma=90.00
Space group P4/mmm (No. 123)
Inequivalent atoms, fractional coordinates:
Cd 0.0000 0.0000 0.0000 [1 per cell]
Cd 0.0000 0.0000 0.5000 [1 per cell]
Co 0.5000 0.5000 0.2432 [2 per cell]
O 0.0000 0.5000 0.2062 [4 per cell]
O 0.5000 0.5000 0.5000 [1 per cell]

Results
- density (kg/m3) = 6764
- total DFT energy (no corrections) (eV/cell) = -43.062
- magnetic moment (μB per formula unit) = 4.018